MgAlSi | GGA-PBE | optimized geometry

Cell and atoms, written as POSCAR:
```
MgAlSi
1.0
-3.903 -2.097 -0.110
-0.244 -4.286 1.101
-1.974 -1.208 3.780
Si Al Mg
1 1 1
Direct
0.000 0.000 0.000 Si
0.500 0.500 0.500 Al
0.250 0.250 0.250 Mg
```

Properties
uncorrected formation energy	0.39	eV per atom
total magnetic moment	0.00	μB/cell
mass density	2.1	g/cm³
space-group type	No. 216